# meta-GGA SCAN Zr2ZnIn, PBEsol geometry
data_Zr2ZnIn
_space_group_name_H-M_alt 'P m m m'
_space_group_IT_number 47
_space_group_name_Hall '-P 2 2'
_cell_length_a 3.101
_cell_length_b 4.099
_cell_length_c 6.118
_cell_angle_alpha 90.00
_cell_angle_beta 90.00
_cell_angle_gamma 90.00
loop_
_atom_site_label
_atom_site_fract_x
_atom_site_fract_y
_atom_site_fract_z
_atom_site_occupancy
Zr1 0.000 0.000 0.239 1
Zn1 0.500 0.500 0.000 1
In1 0.500 0.500 0.500 1
# Calculated total energy in eV per atom: -27.46
# Energy relative to the elements in eV per atom: -0.39
# Theoretical density in Mg/m³: 7.74